VASP calculation (PBE-GGA) on an optimized crystal structure of Dy3GaNi9B2.

DFT formation energy in meV/atom: -421.5
Magnetization in μB/cell: 0.00

Lattice parameters (Å, degrees): 5.3851 5.3851 8.4139 90.00 90.00 120.00
Space group P-3m1 (No. 164)
Inequivalent atoms, fractional coordinates:
Dy1 0.0000 0.0000 0.0000 x1
Dy2 0.3333 0.6667 0.6319 x2
Ga1 0.0000 0.0000 0.5000 x1
Ni1 0.0000 0.5000 0.0000 x3
Ni2 0.1660 0.3319 0.2792 x6
B1 0.3333 0.6667 0.1441 x2